No. 1
A geometry-optimized AlCu2Si structure, computed with GGA-PBE.

Cell lengths 6.2695, 6.2695, 5.1313 Å; angles 90.00, 90.00, 143.77 degrees
Atoms (fractional coordinates):
Al (0.9166, 0.0834, 0.7500)
Al (0.0834, 0.9166, 0.2500)
Cu (0.3196, 0.6804, 0.9962)
Cu (0.6804, 0.3196, 0.4962)
Cu (0.3196, 0.6804, 0.5038)
Cu (0.6804, 0.3196, 0.0038)
Si (0.1274, 0.8726, 0.7500)
Si (0.8726, 0.1274, 0.2500)

=====

No. 2
A geometry-optimized AlCu2Si5 structure, computed with GGA-PBE.

Cell lengths 3.6400, 6.9265, 9.5659 Å; angles 90.00, 90.00, 90.00 degrees
Atoms (fractional coordinates):
Si (0.0000, 0.0000, 0.0000)
Si (0.0000, 0.5000, 0.5000)
Si (0.0000, 0.7898, 0.7904)
Si (0.0000, 0.2102, 0.2096)
Si (0.0000, 0.7102, 0.2904)
Si (0.0000, 0.2898, 0.7096)
Si (0.5000, 0.2216, 0.9006)
Si (0.5000, 0.7784, 0.0994)
Si (0.5000, 0.2784, 0.4006)
Si (0.5000, 0.7216, 0.5994)
Al (0.0000, 0.0000, 0.5000)
Al (0.0000, 0.5000, 0.0000)
Cu (0.5000, 0.5507, 0.8190)
Cu (0.5000, 0.4493, 0.1810)
Cu (0.5000, 0.9493, 0.3190)
Cu (0.5000, 0.0507, 0.6810)

Properties
The energy above the most stable polymorph in this dataset comes out at 0 kJ/mol of formula units.

=====

No. 3
A geometry-optimized Al2Cu4Si structure, computed with GGA-PBE.

Cell lengths 4.0840, 6.6503, 7.2190 Å; angles 83.73, 90.00, 90.00 degrees
Atoms (fractional coordinates):
Si (0.7500, 0.1080, 0.7363)
Si (0.2500, 0.8920, 0.2637)
Al (0.2500, 0.6223, 0.0252)
Al (0.7500, 0.3777, 0.9748)
Al (0.2500, 0.7358, 0.6574)
Al (0.7500, 0.2642, 0.3426)
Cu (0.2500, 0.9871, 0.8994)
Cu (0.7500, 0.0129, 0.1006)
Cu (0.2500, 0.1144, 0.5317)
Cu (0.7500, 0.8856, 0.4683)
Cu (0.2500, 0.4939, 0.3971)
Cu (0.7500, 0.5061, 0.6029)
Cu (0.2500, 0.3637, 0.7760)
Cu (0.7500, 0.6363, 0.2240)

Properties
The energy above the most stable polymorph in this dataset comes out at 0 kJ/mol of formula units.

=====

No. 4
A geometry-optimized AlCuSi4 structure, computed with GGA-PBE.

Cell lengths 3.4895, 7.5123, 6.9251 Å; angles 90.00, 90.00, 90.00 degrees
Atoms (fractional coordinates):
Si (0.5000, 0.3377, 0.0297)
Si (0.5000, 0.3377, 0.4703)
Si (0.5000, 0.6623, 0.9703)
Si (0.5000, 0.6623, 0.5297)
Si (0.5000, 0.8886, 0.2500)
Si (0.5000, 0.1114, 0.7500)
Si (0.0000, 0.0000, 0.0000)
Si (0.0000, 0.0000, 0.5000)
Al (0.0000, 0.5808, 0.2500)
Al (0.0000, 0.4192, 0.7500)
Cu (0.0000, 0.2404, 0.2500)
Cu (0.0000, 0.7596, 0.7500)

Properties
The energy above the most stable polymorph in this dataset comes out at 16 kJ/mol of formula units.

=====

No. 5
A geometry-optimized AlCuSi2 structure, computed with GGA-PBE.

Cell lengths 2.7716, 4.5783, 5.3782 Å; angles 55.77, 90.00, 90.00 degrees
Atoms (fractional coordinates):
Si (0.0000, 0.0000, 0.0000)
Si (0.5000, 0.5000, 0.0000)
Al (0.5000, 0.5000, 0.5000)
Cu (0.0000, 0.0000, 0.5000)

=====

No. 6
A geometry-optimized AlCu3Si structure, computed with GGA-PBE.

Cell lengths 4.4721, 4.4721, 4.4721 Å; angles 90.00, 90.00, 90.00 degrees
Atoms (fractional coordinates):
Si (0.5000, 0.5000, 0.5000)
Al (0.0000, 0.0000, 0.0000)
Cu (0.0000, 0.5000, 0.0000)
Cu (0.0000, 0.0000, 0.5000)
Cu (0.5000, 0.0000, 0.0000)

Properties
The energy above the most stable polymorph in this dataset comes out at 433 kJ/mol of formula units.

=====

Number 1: uncorrected formation energy -0.028 eV per atom, energy -4.3673 eV per atom. Number 2: uncorrected formation energy 0.240 eV per atom, energy -4.6413 eV per atom. Number 3: uncorrected formation energy -0.051 eV per atom, energy -4.2355 eV per atom. Number 4: uncorrected formation energy 0.283 eV per atom, energy -4.6386 eV per atom. Number 5: uncorrected formation energy 0.188 eV per atom, energy -4.4836 eV per atom. Number 6: uncorrected formation energy 0.845 eV per atom, energy -3.4459 eV per atom.